[1]
Crystalline ZnInAuO4 at its relaxed geometry, computed with PBE.

**Calculated density**: 7.5 g/cm3
**Formation energy from raw total energies**: -0.8652 eV/atom

abc: 6.150 6.691 6.278
angles: 117.97 90.00 117.36
Fractional coordinates of all 14 atoms:
Au  0.500  0.500  0.500
Zn  0.871  0.741  0.121
O  0.236  0.934  0.217
O  0.265  0.530  0.296
Zn  0.129  0.259  0.879
In  0.500  0.000  0.000
Au  0.000  0.500  0.500
In  0.500  0.000  0.500
O  0.698  0.934  0.217
O  0.302  0.066  0.783
O  0.265  0.530  0.733
O  0.735  0.470  0.704
O  0.764  0.066  0.783
O  0.735  0.470  0.267

---

[2]
Crystalline InOs3Au at its relaxed geometry, computed with PBE.

**E above lowest polymorph**: 0 meV/atom
**Calculated density**: 12.6 g/cm3
**Formation energy from the elements**: 2.690 eV per atom

abc: 4.876 4.876 4.876
angles: 90.00 90.00 90.00
Site moments in Bohr magnetons follow the coordinates.
Fractional coordinates of all 5 atoms:
Os  0.000  0.000  0.500  2.19
Os  0.000  0.500  0.000  1.45
Au  0.000  0.000  0.000  0.26
Os  0.500  0.000  0.000  1.02
In  0.500  0.500  0.500  -0.05

---

[3]
Crystalline InOsAu at its relaxed geometry, computed with PBE.

**E above lowest polymorph**: 86 meV/atom
**Calculated density**: 15.5 g/cm3
**Formation energy from the elements**: 0.633 eV per atom

abc: 7.581 7.298 2.936
angles: 84.08 73.26 22.66
Fractional coordinates of all 3 atoms:
Au  0.003  0.003  0.997
In  0.329  0.329  0.671
Os  0.668  0.668  0.332

---

[4]
Crystalline InOsAu at its relaxed geometry, computed with PBE.

**E above lowest polymorph**: 32 meV/atom
**Calculated density**: 15.7 g/cm3
**Formation energy from the elements**: 0.579 eV per atom

abc: 5.230 5.230 5.230
angles: 148.72 134.01 56.67
Fractional coordinates of all 3 atoms:
In  0.327  0.327  0.000
Au  0.003  0.003  0.000
Os  0.670  0.670  0.000

---

[5]
Crystalline InOsAu4 at its relaxed geometry, computed with PBE.

**Calculated density**: 15.9 g/cm3
**Formation energy from the elements**: 0.673 eV per atom

abc: 5.440 5.440 5.440
angles: 60.00 60.00 60.00
Fractional coordinates of all 6 atoms:
Au  0.375  0.876  0.375
Os  0.000  0.000  0.000
In  0.750  0.750  0.750
Au  0.375  0.375  0.375
Au  0.876  0.375  0.375
Au  0.375  0.375  0.876

---

[6]
Crystalline InOsAu3 at its relaxed geometry, computed with PBE.

**E above lowest polymorph**: 0 meV/atom
**Calculated density**: 11.2 g/cm3
**Formation energy from the elements**: 0.951 eV per atom

abc: 5.101 5.101 5.101
angles: 90.00 90.00 90.00
Site moments in Bohr magnetons follow the coordinates.
Fractional coordinates of all 5 atoms:
In  0.500  0.500  0.500  -0.01
Au  0.500  0.000  0.000  0.05
Os  0.000  0.000  0.000  1.35
Au  0.000  0.500  0.000  0.11
Au  0.000  0.000  0.500  0.27

---

[7]
Crystalline InOs4Au at its relaxed geometry, computed with PBE.

**Calculated density**: 17.5 g/cm3
**Formation energy from the elements**: 0.837 eV per atom

abc: 5.238 5.238 5.238
angles: 60.00 60.00 60.00
Site moments in Bohr magnetons follow the coordinates.
Fractional coordinates of all 6 atoms:
In  0.000  0.000  0.000  -0.01
Os  0.625  0.625  0.625  0.10
Os  0.625  0.126  0.625  0.10
Os  0.126  0.625  0.625  0.10
Os  0.625  0.625  0.126  0.10
Au  0.250  0.250  0.250  0.01

---

[8]
Crystalline InOsAu at its relaxed geometry, computed with PBE.

**E above lowest polymorph**: 10 meV/atom
**Calculated density**: 15.7 g/cm3
**Formation energy from the elements**: 0.557 eV per atom

abc: 6.180 6.180 6.180
angles: 151.68 151.68 40.48
Fractional coordinates of all 3 atoms:
In  0.325  0.325  0.000
Au  0.007  0.007  0.000
Os  0.668  0.668  0.000

---

Repeat the sixth record exactly.
Crystalline InOsAu3 at its relaxed geometry, computed with PBE.

**E above lowest polymorph**: 0 meV/atom
**Calculated density**: 11.2 g/cm3
**Formation energy from the elements**: 0.951 eV per atom

abc: 5.101 5.101 5.101
angles: 90.00 90.00 90.00
Site moments in Bohr magnetons follow the coordinates.
Fractional coordinates of all 5 atoms:
In  0.500  0.500  0.500  -0.01
Au  0.500  0.000  0.000  0.05
Os  0.000  0.000  0.000  1.35
Au  0.000  0.500  0.000  0.11
Au  0.000  0.000  0.500  0.27